Record 1
A relaxed structure of YMnPd2. Source: Alexandria, functional GGA-PBE.

Cell and atoms, written as extended XYZ:
```
4
Lattice="4.339 0.000 0.000 0.000 4.339 0.000 0.000 0.000 3.825" Properties=species:S:1:pos:R:3 pbc="T T T"
Y 0.000 0.000 0.000
Mn 2.169 2.169 0.000
Pd 0.000 2.169 1.912
Pd 2.169 0.000 1.912
```

Output
magnetization: 3.76 μB/f.u.
space-group type: P4/mmm
DOS(E_F): 0.72 states/eV/atom
volume: 72.0 Å³/cell
total energy: -7.01 eV/atom

***

Record 2
A relaxed structure of ScCo2Re2. Source: Alexandria, functional GGA-PBE.

Cell and atoms, written as extended XYZ:
```
10
Lattice="7.288 0.000 0.000 0.000 7.288 0.000 0.000 0.000 2.666" Properties=species:S:1:pos:R:3 pbc="T T T"
Sc 0.000 0.000 0.000
Sc 3.644 3.644 0.000
Co 0.869 2.775 0.000
Co 2.775 6.419 0.000
Co 4.513 0.869 0.000
Co 6.419 4.513 0.000
Re 1.278 4.922 1.333
Re 2.365 1.278 1.333
Re 4.922 6.009 1.333
Re 6.009 2.365 1.333
```

Output
magnetization: 0.00 μB/f.u.
space-group type: P4/mbm
DOS(E_F): 1.11 states/eV/atom
volume: 141.6 Å³/cell
total energy: -9.04 eV/atom

***

Record 3
A relaxed structure of Cd2PdRh2. Source: Alexandria, functional GGA-PBE.

Cell and atoms, written as extended XYZ:
```
10
Lattice="6.688 0.000 0.000 0.000 6.688 0.000 0.000 0.000 4.042" Properties=species:S:1:pos:R:3 pbc="T T T"
Cd 1.157 2.187 0.000
Cd 2.187 5.532 0.000
Cd 4.501 1.157 0.000
Cd 5.532 4.501 0.000
Pd 0.000 0.000 2.021
Pd 3.344 3.344 2.021
Rh 0.866 4.211 2.021
Rh 2.478 0.866 2.021
Rh 4.211 5.822 2.021
Rh 5.822 2.478 2.021
```

Output
magnetization: 0.00 μB/f.u.
space-group type: P4/mbm
DOS(E_F): 0.23 states/eV/atom
volume: 180.8 Å³/cell
total energy: -4.26 eV/atom